No. 1
An optimized crystal structure of Sr3Li5Pb12. Source: Alexandria via LeMat-Bulk, functional PBE-GGA.

abc: 15.244 15.244 15.244
angles: 109.47 109.47 109.47
Positions (direct):
Li 0.000 0.000 0.500
Pb 0.064 0.181 0.499
Pb 0.001 0.436 0.819
Pb 0.436 0.001 0.319
Li 0.500 0.500 0.000
Sr 0.125 0.875 0.750
Pb 0.819 0.936 0.001
Pb 0.319 0.818 0.384
Pb 0.066 0.384 0.064
Li 0.250 0.375 0.625
Pb 0.318 0.934 0.999
Sr 0.250 0.625 0.875
Pb 0.819 0.884 0.318
Li 0.625 0.875 0.250
Pb 0.501 0.319 0.936
Pb 0.616 0.934 0.436
Li 0.500 0.000 0.000
Li 0.000 0.500 0.500
Pb 0.936 0.116 0.934
Pb 0.564 0.999 0.681
Pb 0.934 0.616 0.936
Li 0.375 0.125 0.750
Pb 0.181 0.116 0.682
Li 0.000 0.000 0.000
Pb 0.818 0.319 0.884
Li 0.875 0.625 0.750
Sr 0.125 0.250 0.875
Pb 0.682 0.616 0.181
Pb 0.182 0.501 0.566
Pb 0.616 0.682 0.681
Pb 0.884 0.064 0.566
Sr 0.875 0.125 0.250
Li 0.125 0.750 0.375
Li 0.750 0.125 0.875
Pb 0.682 0.066 0.001
Pb 0.681 0.182 0.616
Pb 0.436 0.434 0.616
Li 0.375 0.250 0.125
Pb 0.434 0.436 0.116
Pb 0.434 0.999 0.818
Sr 0.625 0.375 0.750
Pb 0.066 0.682 0.501
Pb 0.318 0.384 0.819
Pb 0.116 0.181 0.182
Li 0.000 0.500 0.000
Sr 0.375 0.625 0.250
Pb 0.564 0.566 0.384
Sr 0.625 0.250 0.375
Sr 0.750 0.875 0.625
Pb 0.319 0.501 0.436
Pb 0.181 0.064 0.999
Pb 0.999 0.564 0.181
Pb 0.064 0.884 0.066
Pb 0.934 0.318 0.499
Pb 0.116 0.936 0.434
Pb 0.566 0.564 0.884
Pb 0.001 0.566 0.682
Pb 0.566 0.001 0.182
Pb 0.681 0.499 0.564
Li 0.250 0.875 0.125
Pb 0.499 0.818 0.934
Pb 0.999 0.434 0.318
Sr 0.250 0.125 0.375
Pb 0.818 0.499 0.434
Pb 0.182 0.681 0.116
Sr 0.875 0.750 0.125
Sr 0.375 0.750 0.625
Pb 0.499 0.681 0.064
Li 0.625 0.750 0.875
Pb 0.384 0.318 0.319
Pb 0.884 0.819 0.818
Pb 0.501 0.182 0.066
Li 0.875 0.250 0.625
Li 0.500 0.000 0.500
Sr 0.750 0.375 0.125
Li 0.125 0.375 0.250
Pb 0.384 0.066 0.564
Li 0.500 0.500 0.500
Pb 0.936 0.819 0.501
Li 0.750 0.625 0.375

Results
Its space group is Ia-3d (230). Its formation energy from the elements is 0.047 eV/atom. The calculation puts the total moment at 0.0 μB per formula unit.


No. 2
An optimized crystal structure of PmTmPu2Se4. Source: Alexandria via LeMat-Bulk, functional PBE-GGA.

abc: 4.107 7.127 7.191
angles: 109.22 90.00 90.00
Last column: magnetic moment on the atom in μB.
Positions (direct):
Se 0.000 0.259 0.756  -0.04
Se 0.500 0.257 0.250  -0.04
Se 0.000 0.741 0.244  -0.04
Pm 0.000 0.000 0.000  0.03
Tm 0.500 0.500 0.000  0.04
Se 0.500 0.743 0.750  -0.04
Pu 0.000 0.500 0.500  5.44
Pu 0.500 0.000 0.500  5.53

Results
Its space group is P2/m (10). The value obtained for the energy relative to the elements, uncorrected is -1.6607 eV/atom. The calculation puts the total moment at 11.7 μB per formula unit.


No. 3
An optimized crystal structure of SmDyPtAu. Source: Alexandria via LeMat-Bulk, functional PBE-GGA.

abc: 5.068 5.068 5.068
angles: 60.00 60.00 60.00
Positions (direct):
Pt 0.750 0.750 0.750
Dy 0.000 0.000 0.000
Au 0.250 0.250 0.250
Sm 0.500 0.500 0.500

Results
Its space group is F-43m (216). For the energy above the most stable polymorph in this dataset, the calculation gives 57.2 meV/atom. Its formation energy from the elements is -0.990 eV/atom. The calculation puts the total moment at 0.0 μB per formula unit.


No. 4
An optimized crystal structure of CuGeBr2. Source: Alexandria via LeMat-Bulk, functional PBE-GGA.

abc: 3.706 3.706 9.164
angles: 78.34 78.34 60.00
Positions (direct):
Cu 0.000 0.000 0.000
Br 0.915 0.915 0.255
Ge 0.500 0.500 0.500
Br 0.085 0.085 0.745

Results
Its space group is R-3m (166). For the energy above the most stable polymorph in this dataset, the calculation gives 0.1 meV/atom. The value obtained for the energy relative to the elements, uncorrected is 0.0952 eV/atom. The calculation puts the total moment at 0.0 μB per formula unit.


No. 5
An optimized crystal structure of Pr8PtSe3S4. Source: Alexandria via LeMat-Bulk, functional PBE-GGA.

abc: 8.385 8.381 8.385
angles: 120.01 120.00 90.00
Positions (direct):
Se 0.500 0.500 0.000
Pt 0.000 0.500 0.000
Pr 0.759 0.759 0.009
Se 0.000 0.500 0.500
Pr 0.244 0.232 0.488
S 0.000 0.000 0.500
Pr 0.750 0.241 0.991
Pr 0.756 0.768 0.512
Se 0.500 0.500 0.500
S 0.000 0.000 0.000
S 0.500 0.000 0.000
Pr 0.750 0.241 0.500
S 0.500 0.000 0.500
Pr 0.250 0.759 0.009
Pr 0.250 0.759 0.500
Pr 0.241 0.241 0.991

Results
Its space group is R-3m (166). The value obtained for the energy relative to the elements, uncorrected is -1.8391 eV/atom. The calculation puts the total moment at 0.0 μB per formula unit.


No. 6
An optimized crystal structure of Pm3Tl2Ag3. Source: Alexandria via LeMat-Bulk, functional PBE-GGA.

abc: 4.723 6.215 15.516
angles: 90.00 90.00 112.33
Positions (direct):
Pm 0.915 0.830 0.396
Tl 0.210 0.420 0.395
Tl 0.790 0.580 0.895
Tl 0.210 0.420 0.105
Ag 0.606 0.213 0.041
Ag 0.394 0.787 0.541
Pm 0.915 0.830 0.104
Pm 0.369 0.737 0.750
Ag 0.606 0.213 0.459
Ag 0.394 0.787 0.959
Pm 0.631 0.263 0.250
Ag 0.365 0.730 0.250
Ag 0.635 0.270 0.750
Pm 0.085 0.170 0.896
Pm 0.085 0.170 0.604
Tl 0.790 0.580 0.605

Results
Its space group is Cmcm (63). Its formation energy from the elements is -0.231 eV/atom. The calculation puts the total moment at 0.0 μB per formula unit.


No. 7
An optimized crystal structure of BaCu5As3. Source: Alexandria via LeMat-Bulk, functional PBE-GGA.

abc: 4.050 6.660 12.413
angles: 90.00 90.00 107.70
Positions (direct):
As 0.889 0.778 0.250
As 0.377 0.754 0.542
As 0.623 0.246 0.458
Cu 0.814 0.628 0.435
Ba 0.169 0.339 0.250
Cu 0.186 0.372 0.935
Ba 0.831 0.661 0.750
As 0.377 0.754 0.958
Cu 0.000 0.000 0.000
Cu 0.551 0.101 0.647
Cu 0.186 0.372 0.565
Cu 0.000 0.000 0.500
Cu 0.449 0.899 0.147
Cu 0.551 0.101 0.853
As 0.111 0.222 0.750
Cu 0.449 0.899 0.353
Cu 0.814 0.628 0.065
As 0.623 0.246 0.042

Results
Its space group is Cmcm (63). Its formation energy from the elements is -0.302 eV/atom. The calculation puts the total moment at 0.0 μB per formula unit.


No. 8
An optimized crystal structure of Mg2ScHg3. Source: Alexandria via LeMat-Bulk, functional PBE-GGA.

abc: 4.816 7.638 7.293
angles: 90.00 90.00 71.62
Positions (direct):
Hg 0.500 0.000 0.246
Hg 0.167 0.665 0.746
Sc 0.666 0.668 0.000
Hg 0.833 0.335 0.746
Hg 0.833 0.335 0.254
Sc 0.334 0.332 0.000
Mg 0.337 0.326 0.500
Mg 0.000 0.000 0.500
Mg 0.000 0.000 0.000
Mg 0.663 0.674 0.500
Hg 0.167 0.665 0.254
Hg 0.500 0.000 0.754

Results
Its space group is Cmmm (65). For the energy above the most stable polymorph in this dataset, the calculation gives 0.0 meV/atom. Its formation energy from the elements is -0.314 eV/atom. The calculation puts the total moment at 0.0 μB per formula unit.


No. 9
An optimized crystal structure of CoRePb. Source: Alexandria via LeMat-Bulk, functional PBE-GGA.

abc: 4.233 4.233 4.233
angles: 60.00 60.00 60.00
Last column: magnetic moment on the atom in μB.
Positions (direct):
Pb 0.000 0.000 0.000  -0.04
Re 0.500 0.500 0.500  1.12
Co 0.750 0.750 0.750  0.80

Results
Its space group is F-43m (216). For the energy above the most stable polymorph in this dataset, the calculation gives 518.0 meV/atom. Its formation energy from the elements is 0.829 eV/atom. The calculation puts the total moment at 2.0 μB per formula unit.


No. 10
An optimized crystal structure of MgZrSe2. Source: Alexandria via LeMat-Bulk, functional PBE-GGA.

abc: 6.885 6.885 6.885
angles: 149.48 149.57 43.64
Positions (direct):
Zr 0.550 0.550 0.000
Se 0.959 0.959 0.000
Mg 0.281 0.781 0.500
Se 0.710 0.210 0.500

Results
Its space group is Imm2 (44). The value obtained for the energy relative to the elements, uncorrected is -1.0750 eV/atom. The calculation puts the total moment at 0.0 μB per formula unit.


No. 11
An optimized crystal structure of PmNd5Ho2. Source: Alexandria via LeMat-Bulk, functional PBE-GGA.

abc: 5.141 7.270 14.540
angles: 90.00 90.00 90.00
Positions (direct):
Ho 0.500 0.250 0.125
Pm 0.000 0.000 0.500
Ho 0.500 0.750 0.875
Nd 0.000 0.500 0.500
Nd 0.500 0.751 0.625
Nd 0.000 0.501 0.750
Nd 0.500 0.249 0.375
Nd 0.500 0.749 0.125
Ho 0.500 0.250 0.625
Pm 0.000 0.500 0.000
Nd 0.000 0.499 0.250
Nd 0.500 0.251 0.875
Nd 0.000 0.000 0.000
Ho 0.500 0.750 0.375
Nd 0.000 0.001 0.750
Nd 0.000 0.999 0.250

Results
Its space group is Pbam (55). For the energy above the most stable polymorph in this dataset, the calculation gives 0.0 meV/atom. Its formation energy from the elements is 0.013 eV/atom. The calculation puts the total moment at 0.0 μB per formula unit.


No. 12
An optimized crystal structure of Cs2ThTe3. Source: Alexandria via LeMat-Bulk, functional PBE-GGA.

abc: 8.521 8.510 9.405
angles: 81.07 71.93 59.96
Positions (direct):
Th 0.332 0.336 0.000
Cs 0.151 0.698 0.500
Te 0.544 0.387 0.201
Cs 0.849 0.302 0.500
Te 0.682 0.000 0.805
Cs 0.000 0.000 0.000
Te 0.318 0.000 0.195
Th 0.668 0.664 0.000
Te 0.456 0.613 0.799
Cs 0.500 0.000 0.500
Te 0.930 0.613 0.201
Te 0.070 0.387 0.799

Results
Its space group is C2/m (12). For the energy above the most stable polymorph in this dataset, the calculation gives 0.0 meV/atom. The value obtained for the energy relative to the elements, uncorrected is -1.2369 eV/atom. The calculation puts the total moment at 0.0 μB per formula unit.


Question: total moment of number 11 (PmNd5Ho2)?
Answer: 0.0 μB per formula unit


Question: Number 1 is which compound?
Answer: Sr3Li5Pb12


Question: Look up the total moment of the seventh one.
Answer: 0.0 μB per formula unit


Question: Look up the total moment of the seventh one.
Answer: 0.0 μB per formula unit